1.
# TlZnW2, optimized geometry, DFT PBE
data_TlZnW2
_chemical_formula_sum 'Tl1 Zn1 W2'
_symmetry_space_group_name_H-M 'P 1'
_symmetry_Int_Tables_number 1
_symmetry_space_group_name_Hall 'P 1'
_cell_length_a 5.304
_cell_length_b 5.304
_cell_length_c 5.304
_cell_angle_alpha 136.70
_cell_angle_beta 136.70
_cell_angle_gamma 62.90
loop_
_atom_site_label
_atom_site_fract_x
_atom_site_fract_y
_atom_site_fract_z
Tl1 0.750 0.250 0.500
W1 0.000 0.000 0.000
W2 0.500 0.500 0.000
Zn1 0.250 0.750 0.500
# * DFT total energy: -6.5617 eV per atom


2.
# Tl2ZnW, optimized geometry, DFT PBE
data_Tl2ZnW
_chemical_formula_sum 'Tl2 Zn1 W1'
_symmetry_space_group_name_H-M 'P 1'
_symmetry_Int_Tables_number 1
_symmetry_space_group_name_Hall 'P 1'
_cell_length_a 4.798
_cell_length_b 3.126
_cell_length_c 5.740
_cell_angle_alpha 74.05
_cell_angle_beta 90.00
_cell_angle_gamma 90.00
loop_
_atom_site_label
_atom_site_fract_x
_atom_site_fract_y
_atom_site_fract_z
Tl1 0.000 0.961 0.953
Tl2 0.500 0.283 0.311
W1 0.000 0.694 0.486
Zn1 0.500 0.562 0.750
# * DFT total energy: -3.9823 eV per atom


3.
# TlZnW2, optimized geometry, DFT PBE
data_TlZnW2
_chemical_formula_sum 'Tl1 Zn1 W2'
_symmetry_space_group_name_H-M 'P 1'
_symmetry_Int_Tables_number 1
_symmetry_space_group_name_Hall 'P 1'
_cell_length_a 5.288
_cell_length_b 5.288
_cell_length_c 2.806
_cell_angle_alpha 90.00
_cell_angle_beta 90.00
_cell_angle_gamma 117.22
loop_
_atom_site_label
_atom_site_fract_x
_atom_site_fract_y
_atom_site_fract_z
Tl1 0.000 0.500 0.500
W1 0.000 0.000 0.000
W2 0.500 0.500 0.000
Zn1 0.500 0.000 0.500
# * DFT total energy: -6.4976 eV per atom


4.
# Tl2ZnW, optimized geometry, DFT PBE
data_Tl2ZnW
_chemical_formula_sum 'Tl2 Zn1 W1'
_symmetry_space_group_name_H-M 'P 1'
_symmetry_Int_Tables_number 1
_symmetry_space_group_name_Hall 'P 1'
_cell_length_a 5.883
_cell_length_b 5.883
_cell_length_c 3.061
_cell_angle_alpha 74.09
_cell_angle_beta 74.09
_cell_angle_gamma 115.05
loop_
_atom_site_label
_atom_site_fract_x
_atom_site_fract_y
_atom_site_fract_z
Tl1 0.000 0.000 0.000
Tl2 0.500 0.500 0.000
W1 0.500 0.000 0.500
Zn1 0.000 0.500 0.500
# * DFT total energy: -3.8896 eV per atom


5.
# TlZnW2, optimized geometry, DFT PBE
data_TlZnW2
_chemical_formula_sum 'Tl1 Zn1 W2'
_symmetry_space_group_name_H-M 'P 1'
_symmetry_Int_Tables_number 1
_symmetry_space_group_name_Hall 'P 1'
_cell_length_a 5.028
_cell_length_b 5.028
_cell_length_c 5.185
_cell_angle_alpha 84.82
_cell_angle_beta 84.82
_cell_angle_gamma 32.51
loop_
_atom_site_label
_atom_site_fract_x
_atom_site_fract_y
_atom_site_fract_z
Tl1 0.250 0.250 0.266
W1 0.000 0.000 0.971
W2 0.755 0.755 0.763
Zn1 0.495 0.495 0.500
# * DFT total energy: -6.6214 eV per atom


6.
# TlZn2W, optimized geometry, DFT PBE
data_TlZn2W
_chemical_formula_sum 'Tl1 Zn2 W1'
_symmetry_space_group_name_H-M 'P 1'
_symmetry_Int_Tables_number 1
_symmetry_space_group_name_Hall 'P 1'
_cell_length_a 4.855
_cell_length_b 2.831
_cell_length_c 5.113
_cell_angle_alpha 90.00
_cell_angle_beta 90.00
_cell_angle_gamma 90.00
loop_
_atom_site_label
_atom_site_fract_x
_atom_site_fract_y
_atom_site_fract_z
Tl1 0.000 0.625 0.462
W1 0.500 0.625 0.806
Zn1 0.000 0.125 0.949
Zn2 0.500 0.125 0.283
# * DFT total energy: -3.8953 eV per atom


Let's list formation energy in order: 825 758 889 850 765 572 meV/atom.